Record 1
Sc5Ru3: relaxed, GGA-PBE.

```
Sc5Ru3
1.0
3.4044 -4.7120 0.0000
3.4044 4.7120 0.0000
0.0000 0.0000 4.4800
Sc Ru
5 3
Direct
0.0000 0.0000 0.0000
0.0000 0.5000 0.0000
0.2794 0.2794 0.5000
0.5000 0.0000 0.0000
0.7206 0.7206 0.5000
0.2309 0.7691 0.5000
0.5000 0.5000 0.0000
0.7691 0.2309 0.5000
```

- Space-group type: No. 65
- DFT formation energy: -410.5 meV/atom



Record 2
HoPu2ThSe4: relaxed, GGA-PBE.

```
HoPu2ThSe4
1.0
7.0826 0.0000 0.0000
0.0000 4.1136 0.0000
-2.4063 0.0000 6.8674
Ho Pu Th Se
1 2 1 4
Direct
0.0000 0.0000 0.0000
0.5000 0.0000 0.5000
0.5000 0.5000 0.0000
0.0000 0.5000 0.5000
0.2472 0.5000 0.2424
0.2533 0.0000 0.7597
0.7467 0.0000 0.2403
0.7528 0.5000 0.7576
```

- Space-group type: No. 10
- Formation energy from raw total energies: -1588 meV/atom



Record 3
NaCoOs: relaxed, GGA-PBE.

```
NaCoOs
1.0
4.2791 0.0000 0.0000
0.0000 2.3230 5.4618
0.0000 -2.3230 5.4618
Na Co Os
2 2 2
Direct
0.2500 0.2267 0.7733
0.7500 0.7733 0.2267
0.2500 0.8394 0.5857
0.7500 0.5857 0.8394
0.2500 0.4199 0.1456
0.7500 0.1456 0.4199
```

- Space-group type: No. 40
- DFT formation energy: 566.6 meV/atom